## w
First-principles (PBE) data for a relaxed structure of Te2Mo3, as listed in Alexandria via LeMat-Bulk.

```
data_Te2Mo3
_cell_length_a 11.683
_cell_length_b 13.219
_cell_length_c 5.357
_cell_angle_alpha 90.00
_cell_angle_beta 90.00
_cell_angle_gamma 90.00
_space_group_name_H-M_alt 'F d d 2'
_space_group_IT_number 43
_space_group_name_Hall 'F 2 -2d'
loop_
_atom_site_label
_atom_site_fract_x
_atom_site_fract_y
_atom_site_fract_z
_atom_site_occupancy
Te1 0.080 0.202 0.000 1
Mo1 0.000 0.000 0.098 1
Mo2 0.020 0.101 0.471 1
```


## x
First-principles (PBE) data for a relaxed structure of Te2Mo3, as listed in Alexandria via LeMat-Bulk.

```
data_Te2Mo3
_cell_length_a 4.3656
_cell_length_b 4.3656
_cell_length_c 6.1150
_cell_angle_alpha 90.00
_cell_angle_beta 90.00
_cell_angle_gamma 120.00
_space_group_name_H-M_alt 'P -3 m 1'
_space_group_IT_number 164
_space_group_name_Hall '-P 3 2"'
loop_
_atom_site_label
_atom_site_fract_x
_atom_site_fract_y
_atom_site_fract_z
_atom_site_occupancy
Te1 0.3333 0.6667 0.2954 1
Mo1 0.0000 0.0000 0.5000 1
Mo2 0.3333 0.6667 0.8586 1
```


Decreasing stability: w, x


## w
First-principles (PBE) data for a relaxed structure of TiTe2Mo, as listed in Alexandria via LeMat-Bulk.

```
data_TiTe2Mo
_cell_length_a 5.131
_cell_length_b 5.131
_cell_length_c 15.883
_cell_angle_alpha 90.00
_cell_angle_beta 90.00
_cell_angle_gamma 90.00
_space_group_name_H-M_alt 'I -4 2 d'
_space_group_IT_number 122
_space_group_name_Hall 'I -4 2bw'
loop_
_atom_site_label
_atom_site_fract_x
_atom_site_fract_y
_atom_site_fract_z
_atom_site_occupancy
Ti1 0.000 0.000 0.000 1
Te1 0.242 0.250 0.625 1
Mo1 0.000 0.000 0.500 1
```


## x
First-principles (PBE) data for a relaxed structure of TiTe2Mo, as listed in Alexandria via LeMat-Bulk.

```
data_TiTe2Mo
_cell_length_a 3.3596
_cell_length_b 3.3596
_cell_length_c 27.9625
_cell_angle_alpha 90.00
_cell_angle_beta 90.00
_cell_angle_gamma 120.00
_space_group_name_H-M_alt 'R -3 m'
_space_group_IT_number 166
_space_group_name_Hall '-R 3 2"'
loop_
_atom_site_label
_atom_site_fract_x
_atom_site_fract_y
_atom_site_fract_z
_atom_site_occupancy
Ti1 0.0000 0.0000 0.0000 1
Te1 0.0000 0.0000 0.0976 1
Mo1 0.0000 0.0000 0.5000 1
```


## y
First-principles (PBE) data for a relaxed structure of TiTe2Mo, as listed in Alexandria via LeMat-Bulk.

```
data_TiTe2Mo
_cell_length_a 6.776
_cell_length_b 6.776
_cell_length_c 6.776
_cell_angle_alpha 90.00
_cell_angle_beta 90.00
_cell_angle_gamma 90.00
_space_group_name_H-M_alt 'F m -3 m'
_space_group_IT_number 225
_space_group_name_Hall '-F 4 2 3'
loop_
_atom_site_label
_atom_site_fract_x
_atom_site_fract_y
_atom_site_fract_z
_atom_site_occupancy
Ti1 0.000 0.000 0.000 1
Te1 0.250 0.250 0.250 1
Mo1 0.000 0.000 0.500 1
```


Decreasing stability: y, x, w


## w
First-principles (PBE) data for a relaxed structure of Ti2Te6Mo, as listed in Alexandria via LeMat-Bulk.

```
data_Ti2Te6Mo
_cell_length_a 6.843
_cell_length_b 7.038
_cell_length_c 11.082
_cell_angle_alpha 90.00
_cell_angle_beta 123.58
_cell_angle_gamma 90.00
_space_group_name_H-M_alt 'P 1 21/c 1'
_space_group_IT_number 14
loop_
_space_group_symop_operation_xyz
'x,y,z'
'-x,-y,-z'
'-x,y+1/2,-z+1/2'
'x,-y+1/2,z+1/2'
loop_
_atom_site_label
_atom_site_fract_x
_atom_site_fract_y
_atom_site_fract_z
_atom_site_occupancy
Ti1 0.213 0.156 0.253 1
Te1 0.083 0.156 0.921 1
Te2 0.285 0.672 0.930 1
Te3 0.421 0.007 0.758 1
Mo1 0.000 0.000 0.500 1
```


## x
First-principles (PBE) data for a relaxed structure of Ti2Te6Mo, as listed in Alexandria via LeMat-Bulk.

```
data_Ti2Te6Mo
_cell_length_a 17.995
_cell_length_b 3.644
_cell_length_c 8.437
_cell_angle_alpha 90.00
_cell_angle_beta 113.76
_cell_angle_gamma 90.00
_space_group_name_H-M_alt 'C 1 2/m 1'
_space_group_IT_number 12
loop_
_space_group_symop_operation_xyz
'x,y,z'
'-x,-y,-z'
'-x,y,-z'
'x,-y,z'
'x+1/2,y+1/2,z'
'-x+1/2,-y+1/2,-z'
'-x+1/2,y+1/2,-z'
'x+1/2,-y+1/2,z'
loop_
_atom_site_label
_atom_site_fract_x
_atom_site_fract_y
_atom_site_fract_z
_atom_site_occupancy
Ti1 0.160 0.000 0.319 1
Te1 0.001 0.000 0.753 1
Te2 0.166 0.500 0.080 1
Te3 0.168 0.500 0.574 1
Mo1 0.000 0.500 0.000 1
```


Decreasing stability: x, w


## w
First-principles (PBE) data for a relaxed structure of Tl2TeMo, as listed in Alexandria via LeMat-Bulk.

```
data_Tl2TeMo
_cell_length_a 3.276
_cell_length_b 4.801
_cell_length_c 13.784
_cell_angle_alpha 90.00
_cell_angle_beta 90.00
_cell_angle_gamma 90.00
_space_group_name_H-M_alt 'I m m 2'
_space_group_IT_number 44
loop_
_space_group_symop_operation_xyz
'x,y,z'
'-x,-y,z'
'-x,y,z'
'x,-y,z'
'x+1/2,y+1/2,z+1/2'
'-x+1/2,-y+1/2,z+1/2'
'-x+1/2,y+1/2,z+1/2'
'x+1/2,-y+1/2,z+1/2'
loop_
_atom_site_label
_atom_site_fract_x
_atom_site_fract_y
_atom_site_fract_z
_atom_site_occupancy
Tl1 0.000 0.000 0.000 1
Tl2 0.000 0.500 0.172 1
Te1 0.000 0.500 0.819 1
Mo1 0.000 0.000 0.473 1
```


## x
First-principles (PBE) data for a relaxed structure of Tl2TeMo, as listed in Alexandria via LeMat-Bulk.

```
data_Tl2TeMo
_cell_length_a 3.332
_cell_length_b 3.332
_cell_length_c 9.180
_cell_angle_alpha 90.00
_cell_angle_beta 90.00
_cell_angle_gamma 90.00
_space_group_name_H-M_alt 'P 4 m m'
_space_group_IT_number 99
loop_
_space_group_symop_operation_xyz
'x,y,z'
'-y,x,z'
'-x,-y,z'
'y,-x,z'
'-x,y,z'
'y,x,z'
'x,-y,z'
'-y,-x,z'
loop_
_atom_site_label
_atom_site_fract_x
_atom_site_fract_y
_atom_site_fract_z
_atom_site_occupancy
Tl1 0.000 0.000 0.000 1
Tl2 0.500 0.500 0.284 1
Te1 0.500 0.500 0.663 1
Mo1 0.000 0.000 0.504 1
```


## y
First-principles (PBE) data for a relaxed structure of Tl2TeMo, as listed in Alexandria via LeMat-Bulk.

```
data_Tl2TeMo
_cell_length_a 6.607
_cell_length_b 9.531
_cell_length_c 3.066
_cell_angle_alpha 90.00
_cell_angle_beta 90.00
_cell_angle_gamma 90.00
_space_group_name_H-M_alt 'C m m m'
_space_group_IT_number 65
_space_group_name_Hall '-C 2 2'
loop_
_atom_site_label
_atom_site_fract_x
_atom_site_fract_y
_atom_site_fract_z
_atom_site_occupancy
Tl1 0.250 0.250 0.000 1
Te1 0.000 0.000 0.500 1
Mo1 0.000 0.500 0.500 1
```


Decreasing stability: x, w, y


## w
First-principles (PBE) data for a relaxed structure of TlTeMo2, as listed in Alexandria via LeMat-Bulk.

```
data_TlTeMo2
_cell_length_a 4.280
_cell_length_b 4.619
_cell_length_c 4.850
_cell_angle_alpha 90.00
_cell_angle_beta 92.68
_cell_angle_gamma 90.00
_space_group_name_H-M_alt 'P 1 2/m 1'
_space_group_IT_number 10
loop_
_space_group_symop_operation_xyz
'x,y,z'
'-x,-y,-z'
'-x,y,-z'
'x,-y,z'
loop_
_atom_site_label
_atom_site_fract_x
_atom_site_fract_y
_atom_site_fract_z
_atom_site_occupancy
Tl1 0.000 0.000 0.000 1
Te1 0.500 0.000 0.500 1
Mo1 0.340 0.500 0.173 1
```


## x
First-principles (PBE) data for a relaxed structure of TlTeMo2, as listed in Alexandria via LeMat-Bulk.

```
data_TlTeMo2
_cell_length_a 3.3320
_cell_length_b 3.3320
_cell_length_c 27.8150
_cell_angle_alpha 90.00
_cell_angle_beta 90.00
_cell_angle_gamma 120.00
_space_group_name_H-M_alt 'R 3 m'
_space_group_IT_number 160
_space_group_name_Hall 'R 3 -2"'
loop_
_atom_site_label
_atom_site_fract_x
_atom_site_fract_y
_atom_site_fract_z
_atom_site_occupancy
Tl1 0.0000 0.0000 0.0000 1
Te1 0.0000 0.0000 0.7758 1
Mo1 0.0000 0.0000 0.2459 1
Mo2 0.0000 0.0000 0.5195 1
```


Decreasing stability: x, w


## w
First-principles (PBE) data for a relaxed structure of TlTeMo2, as listed in Alexandria via LeMat-Bulk.

```
data_TlTeMo2
_cell_length_a 3.287
_cell_length_b 5.369
_cell_length_c 9.069
_cell_angle_alpha 90.00
_cell_angle_beta 90.00
_cell_angle_gamma 90.00
_space_group_name_H-M_alt 'C m m m'
_space_group_IT_number 65
_space_group_name_Hall '-C 2 2'
loop_
_atom_site_label
_atom_site_fract_x
_atom_site_fract_y
_atom_site_fract_z
_atom_site_occupancy
Tl1 0.000 0.000 0.000 1
Te1 0.000 0.000 0.500 1
Mo1 0.000 0.500 0.265 1
```


## x
First-principles (PBE) data for a relaxed structure of TlTeMo2, as listed in Alexandria via LeMat-Bulk.

```
data_TlTeMo2
_cell_length_a 4.725
_cell_length_b 4.725
_cell_length_c 3.363
_cell_angle_alpha 90.00
_cell_angle_beta 90.00
_cell_angle_gamma 90.00
_space_group_name_H-M_alt 'P 4/m m m'
_space_group_IT_number 123
_space_group_name_Hall '-P 4 2'
loop_
_atom_site_label
_atom_site_fract_x
_atom_site_fract_y
_atom_site_fract_z
_atom_site_occupancy
Tl1 0.000 0.000 0.000 1
Te1 0.500 0.500 0.000 1
Mo1 0.000 0.500 0.500 1
```


## y
First-principles (PBE) data for a relaxed structure of TlTeMo2, as listed in Alexandria via LeMat-Bulk.

```
data_TlTeMo2
_cell_length_a 3.310
_cell_length_b 3.310
_cell_length_c 6.979
_cell_angle_alpha 90.00
_cell_angle_beta 90.00
_cell_angle_gamma 90.00
_space_group_name_H-M_alt 'P 4/m m m'
_space_group_IT_number 123
_space_group_name_Hall '-P 4 2'
loop_
_atom_site_label
_atom_site_fract_x
_atom_site_fract_y
_atom_site_fract_z
_atom_site_occupancy
Tl1 0.000 0.000 0.000 1
Te1 0.000 0.000 0.500 1
Mo1 0.500 0.500 0.282 1
```


## z
First-principles (PBE) data for a relaxed structure of TlTeMo2, as listed in Alexandria via LeMat-Bulk.

```
data_TlTeMo2
_cell_length_a 3.1803
_cell_length_b 3.1803
_cell_length_c 26.5785
_cell_angle_alpha 90.00
_cell_angle_beta 90.00
_cell_angle_gamma 120.00
_space_group_name_H-M_alt 'R -3 m'
_space_group_IT_number 166
_space_group_name_Hall '-R 3 2"'
loop_
_atom_site_label
_atom_site_fract_x
_atom_site_fract_y
_atom_site_fract_z
_atom_site_occupancy
Tl1 0.0000 0.0000 0.0000 1
Te1 0.0000 0.0000 0.5000 1
Mo1 0.0000 0.0000 0.2451 1
```


Decreasing stability: y, z, x, w